The following is a GGA-PBE calculation of crystalline MnBe3Si at its relaxed geometry, from the Alexandria database.

Results
DFT total energy (eV per atom): -3.867
Formation energy (no corrections) (meV per atom): 1287
Energy above the most stable polymorph in this dataset (eV/atom): 1.230

Lattice parameters (Å, degrees): 4.0209 4.0209 4.0209 90.00 90.00 90.00
Space group Pm-3m (No. 221)
Symmetry-distinct sites (fractional):
Mn 0.0000 0.0000 0.0000
Be 0.0000 0.5000 0.5000
Si 0.5000 0.5000 0.5000

=====

The following is a GGA-PBE calculation of crystalline Ba2LaFe at its relaxed geometry, from the Alexandria database.

Results
Formation energy (eV per atom): 0.710
DFT total energy (eV per atom): -3.598
Energy above the most stable polymorph in this dataset (eV/atom): 0.401

Lattice parameters (Å, degrees): 7.5571 10.1280 3.9652 90.00 90.00 90.00
Space group Cmmm (No. 65)
Symmetry-distinct sites (fractional):
Ba 0.2500 0.2500 0.0000
La 0.0000 0.0000 0.5000
Fe 0.0000 0.5000 0.5000

=====

The following is a GGA-PBE calculation of crystalline La4TlGa2 at its relaxed geometry, from the Alexandria database.

Results
Formation energy (eV per atom): -0.392
DFT total energy (eV per atom): -4.410
Energy above the most stable polymorph in this dataset (eV/atom): 0.000

Lattice parameters (Å, degrees): 5.3512 5.3512 25.9727 90.00 90.00 120.00
Space group R-3m (No. 166, hexagonal axes)
Symmetry-distinct sites (fractional):
La 0.0000 0.0000 0.1154
La 0.0000 0.0000 0.3679
Tl 0.0000 0.0000 0.5000
Ga 0.0000 0.0000 0.2480

=====

The following is a GGA-PBE calculation of crystalline Re2AuSe at its relaxed geometry, from the Alexandria database.

Results
DFT total energy (eV per atom): -7.202
Formation energy (no corrections) (meV per atom): 713

Lattice parameters (Å, degrees): 3.0627 3.0627 6.6686 90.00 90.00 90.00
Space group P4/mmm (No. 123)
Symmetry-distinct sites (fractional):
Re 0.0000 0.0000 0.2196
Au 0.5000 0.5000 0.5000
Se 0.5000 0.5000 0.0000

=====

The following is a GGA-PBE calculation of crystalline HoTe2Pd7 at its relaxed geometry, from the Alexandria database.

Results
DFT total energy (eV per atom): -5.240
Formation energy (no corrections) (meV per atom): -519

Lattice parameters (Å, degrees): 4.1873 4.1873 21.8563 90.00 90.00 90.00
Space group I4/mmm (No. 139)
Symmetry-distinct sites (fractional):
Ho 0.0000 0.0000 0.0000
Te 0.0000 0.0000 0.3295
Pd 0.0000 0.0000 0.5000
Pd 0.0000 0.5000 0.0923
Pd 0.0000 0.5000 0.2500

=====

The following is a GGA-PBE calculation of crystalline TaW2Au2 at its relaxed geometry, from the Alexandria database.

Results
Formation energy (eV per atom): 0.612
DFT total energy (eV per atom): -8.251

Lattice parameters (Å, degrees): 3.6867 3.6867 13.4372 90.00 90.00 90.00
Space group I4/mmm (No. 139)
Symmetry-distinct sites (fractional):
Ta 0.0000 0.0000 0.0000
W 0.0000 0.5000 0.2500
Au 0.0000 0.0000 0.4039

=====

The following is a GGA-PBE calculation of crystalline Tb6ErTm2Th at its relaxed geometry, from the Alexandria database.

Results
Formation energy (eV per atom): 0.148
DFT total energy (eV per atom): -4.723

Lattice parameters (Å, degrees): 9.2882 14.8959 9.2828 90.00 94.81 90.00
Space group C2/c (No. 15)
Symmetry-distinct sites (fractional):
Tb 0.0569 0.1748 0.4409
Tb 0.0955 0.3851 0.6115
Tb 0.2130 0.2208 0.8133
Er 0.0000 0.4127 0.2500
Tm 0.2457 0.4489 0.9452
Th 0.0000 0.0343 0.7500

=====

The following is a GGA-PBE calculation of crystalline Ti2VTe at its relaxed geometry, from the Alexandria database.

Results
DFT total energy (eV per atom): -6.744
Formation energy (no corrections) (meV per atom): 269

Lattice parameters (Å, degrees): 3.9648 3.9648 19.3647 90.00 90.00 90.00
Space group I-42d (No. 122)
Symmetry-distinct sites (fractional):
Ti 0.2502 0.2500 0.1250
V 0.0000 0.0000 0.0000
Te 0.0000 0.0000 0.5000

=====

The following is a GGA-PBE calculation of crystalline Ti6SbRh12 at its relaxed geometry, from the Alexandria database.

Results
DFT total energy (eV per atom): -7.836
Formation energy (no corrections) (meV per atom): -483

Lattice parameters (Å, degrees): 11.3764 11.3764 8.1223 90.00 90.00 120.00
Space group R-3 (No. 148, hexagonal axes)
Symmetry-distinct sites (fractional):
Ti 0.0421 0.2250 0.2396
Sb 0.0000 0.0000 0.5000
Rh 0.0443 0.2397 0.5898
Rh 0.0634 0.2347 0.9231

=====

The following is a GGA-PBE calculation of crystalline Ac2YAgO6 at its relaxed geometry, from the Alexandria database.

Results
DFT total energy (eV per atom): -7.091
Formation energy (no corrections) (meV per atom): -2363

Lattice parameters (Å, degrees): 5.6997 5.6997 5.3412 90.00 90.00 90.00
Space group P4mm (No. 99)
Symmetry-distinct sites (fractional):
Ac 0.0000 0.5000 0.0000
Y 0.0000 0.0000 0.5466
Ag 0.5000 0.5000 0.6403
O 0.0000 0.0000 0.1452
O 0.2479 0.2479 0.7144
O 0.5000 0.5000 0.1514

=====

The following is a GGA-PBE calculation of crystalline PmErCd at its relaxed geometry, from the Alexandria database.

Results
Formation energy (eV per atom): 0.095
DFT total energy (eV per atom): -3.315
Energy above the most stable polymorph in this dataset (eV/atom): 0.289

Lattice parameters (Å, degrees): 5.1869 5.1869 7.3261 90.00 90.00 90.00
Space group I-4m2 (No. 119)
Symmetry-distinct sites (fractional):
Pm 0.0000 0.0000 0.0000
Er 0.0000 0.0000 0.5000
Cd 0.0000 0.5000 0.7500

=====

The following is a GGA-PBE calculation of crystalline TlPtW2 at its relaxed geometry, from the Alexandria database.

Results
Formation energy (eV per atom): 0.687
DFT total energy (eV per atom): -7.892
Energy above the most stable polymorph in this dataset (eV/atom): 0.304

Lattice parameters (Å, degrees): 3.4483 3.4483 6.2477 90.00 90.00 90.00
Space group P4/mmm (No. 123)
Symmetry-distinct sites (fractional):
Tl 0.0000 0.0000 0.0000
Pt 0.0000 0.0000 0.5000
W 0.5000 0.5000 0.3035

=====

- Look up the DFT total energy of the eleventh one.
  -3.315 eV per atom

=====

- Which of these has the lowest DFT total energy?
  TaW2Au2